Record 1
{"formula": "ScNi3Cl", "functional": "GGA-PBE", "state": "relaxed", "sg": "No. 221", "formation_energy_uncorrected_ev_per_atom": 1.119, "polymorph_energy_ev_per_fu": 4.10, "final_energy_ev_per_cell": -19.93, "volume_a3_per_cell": 97.1, "cell": [[4.597, 0.000, 0.000], [0.000, 4.597, 0.000], [0.000, 0.000, 4.597]], "species": ["Sc", "Ni", "Ni", "Ni", "Cl"], "frac_coords": [[0.000, 0.000, 0.000], [0.000, 0.500, 0.000], [0.000, 0.000, 0.500], [0.500, 0.000, 0.000], [0.500, 0.500, 0.500]]}



Record 2
{"formula": "Sc2NiCl", "functional": "GGA-PBE", "state": "relaxed", "sg": "No. 71", "formation_energy_uncorrected_ev_per_atom": -0.476, "polymorph_energy_ev_per_fu": 1.45, "final_energy_ev_per_cell": -22.20, "volume_a3_per_cell": 74.0, "cell": [[4.931, -0.020, -0.015], [0.527, 4.902, 0.015], [-1.893, -3.375, 3.055]], "species": ["Cl", "Ni", "Sc", "Sc"], "frac_coords": [[0.750, 0.250, 0.500], [0.250, 0.750, 0.500], [0.001, 0.001, 0.000], [0.499, 0.499, 0.000]]}



Record 3
{"formula": "ScNiCl2", "functional": "GGA-PBE", "state": "relaxed", "sg": "No. 119", "formation_energy_uncorrected_ev_per_atom": -0.528, "polymorph_energy_ev_per_fu": 1.79, "final_energy_ev_per_cell": -17.92, "volume_a3_per_cell": 67.2, "cell": [[5.756, 0.016, 0.000], [3.482, 4.584, 0.000], [-4.619, -2.300, 2.552]], "species": ["Sc", "Ni", "Cl", "Cl"], "frac_coords": [[0.750, 0.250, 0.500], [0.500, 0.500, 0.000], [0.000, 0.000, 0.000], [0.250, 0.750, 0.500]]}



Record 4
{"formula": "ScNi2Cl", "functional": "GGA-PBE", "state": "relaxed", "sg": "No. 12", "formation_energy_uncorrected_ev_per_atom": -0.286, "polymorph_energy_ev_per_fu": 0.80, "final_energy_ev_per_cell": -20.89, "volume_a3_per_cell": 60.0, "cell": [[4.919, -0.008, -0.029], [3.904, 2.992, -0.029], [-0.029, -0.010, 4.069]], "species": ["Cl", "Ni", "Ni", "Sc"], "frac_coords": [[0.250, 0.250, 0.250], [0.027, 0.027, 0.979], [0.473, 0.473, 0.521], [0.750, 0.750, 0.750]]}



Record 5
{"formula": "ScNiCl", "functional": "GGA-PBE", "state": "relaxed", "sg": "No. 156", "formation_energy_uncorrected_ev_per_atom": -0.708, "final_energy_ev_per_cell": -16.08, "volume_a3_per_cell": 61.0, "cell": [[3.428, 0.000, 0.000], [-1.714, 2.968, 0.000], [0.000, 0.000, 5.998]], "species": ["Cl", "Ni", "Sc"], "frac_coords": [[0.000, 0.000, 0.947], [0.667, 0.333, 0.396], [0.333, 0.667, 0.657]]}



Record 6
{"formula": "Sc2NiCl", "functional": "GGA-PBE", "state": "relaxed", "sg": "No. 216", "formation_energy_uncorrected_ev_per_atom": 0.264, "polymorph_energy_ev_per_fu": 4.41, "final_energy_ev_per_cell": -19.24, "volume_a3_per_cell": 73.8, "cell": [[-2.492, -2.554, 3.071], [1.971, -1.407, 4.037], [-1.374, 1.906, 4.080]], "species": ["Cl", "Ni", "Sc", "Sc"], "frac_coords": [[0.500, 0.500, 0.500], [0.750, 0.750, 0.750], [0.000, 0.000, 0.000], [0.250, 0.250, 0.250]]}



Record 7
{"formula": "ScNiCl2", "functional": "GGA-PBE", "state": "relaxed", "sg": "No. 12", "formation_energy_uncorrected_ev_per_atom": -0.976, "polymorph_energy_ev_per_fu": 0.00, "final_energy_ev_per_cell": -19.71, "volume_a3_per_cell": 95.6, "cell": [[-4.558, -4.391, -2.767], [-1.676, -6.232, -2.461], [-1.219, -1.283, 3.769]], "species": ["Sc", "Ni", "Cl", "Cl"], "frac_coords": [[0.250, 0.250, 0.250], [0.750, 0.750, 0.750], [0.883, 0.883, 0.027], [0.617, 0.617, 0.473]]}



Record 8
{"formula": "Sc4NiCl5", "functional": "GGA-PBE", "state": "relaxed", "sg": "No. 12", "formation_energy_uncorrected_ev_per_atom": -1.525, "final_energy_ev_per_cell": -55.59, "volume_a3_per_cell": 228.7, "cell": [[-3.184, -1.176, 1.203], [3.450, -2.927, 6.272], [-0.368, 8.400, 1.845]], "species": ["Sc", "Sc", "Sc", "Sc", "Ni", "Cl", "Cl", "Cl", "Cl", "Cl"], "frac_coords": [[0.648, 0.078, 0.297], [0.002, 0.224, 0.005], [0.352, 0.922, 0.703], [0.998, 0.776, 0.995], [0.500, 0.000, 0.000], [0.167, 0.323, 0.333], [0.176, 0.849, 0.351], [0.824, 0.151, 0.649], [0.500, 0.500, 0.000], [0.833, 0.677, 0.667]]}



Record 9
{"formula": "ScNiCl2", "functional": "GGA-PBE", "state": "relaxed", "sg": "No. 65", "formation_energy_uncorrected_ev_per_atom": -0.461, "polymorph_energy_ev_per_fu": 2.06, "final_energy_ev_per_cell": -17.65, "volume_a3_per_cell": 76.6, "cell": [[3.506, -0.051, 0.000], [-1.922, 2.932, 0.000], [0.000, 0.000, 7.520]], "species": ["Sc", "Ni", "Cl", "Cl"], "frac_coords": [[0.500, 0.500, 0.750], [0.500, 0.500, 0.250], [0.000, 0.000, 0.024], [0.000, 0.000, 0.476]]}



Record 10
{"formula": "Sc3NiCl", "functional": "GGA-PBE", "state": "relaxed", "sg": "No. 221", "formation_energy_uncorrected_ev_per_atom": -0.209, "polymorph_energy_ev_per_fu": 0.00, "final_energy_ev_per_cell": -27.67, "volume_a3_per_cell": 120.4, "cell": [[4.938, 0.000, 0.000], [0.000, 4.938, 0.000], [0.000, 0.000, 4.938]], "species": ["Sc", "Sc", "Sc", "Ni", "Cl"], "frac_coords": [[0.000, 0.500, 0.000], [0.000, 0.000, 0.500], [0.500, 0.000, 0.000], [0.000, 0.000, 0.000], [0.500, 0.500, 0.500]]}



Record 11
{"formula": "ScNi2Cl", "functional": "GGA-PBE", "state": "relaxed", "sg": "No. 12", "formation_energy_uncorrected_ev_per_atom": -0.155, "polymorph_energy_ev_per_fu": 1.32, "final_energy_ev_per_cell": -20.36, "volume_a3_per_cell": 60.5, "cell": [[-2.590, -0.076, -3.143], [-1.373, -3.734, 3.851], [-2.119, 1.317, 1.692]], "species": ["Cl", "Ni", "Ni", "Sc"], "frac_coords": [[0.500, 0.500, 0.000], [0.000, 0.000, 0.000], [0.500, 0.000, 0.500], [0.000, 0.500, 0.500]]}



Record 12
{"formula": "Sc2NiCl", "functional": "GGA-PBE", "state": "relaxed", "sg": "No. 12", "formation_energy_uncorrected_ev_per_atom": -0.524, "polymorph_energy_ev_per_fu": 1.26, "final_energy_ev_per_cell": -22.39, "volume_a3_per_cell": 70.8, "cell": [[-3.855, -2.443, 1.741], [3.208, -3.245, 1.744], [0.103, 0.919, 2.916]], "species": ["Cl", "Ni", "Sc", "Sc"], "frac_coords": [[0.500, 0.000, 0.500], [0.000, 0.500, 0.500], [0.000, 0.000, 0.000], [0.500, 0.500, 0.000]]}